Here is crystalline RbCoF2 at its relaxed geometry from the Alexandria database. Energies are from PBE with a Hubbard U.

extended XYZ file:
```
8
Lattice="-2.549 2.549 6.163 2.549 -2.549 6.163 2.549 2.549 -6.163" Properties=species:S:1:pos:R:3 pbc="T T T"
Rb 0.000 0.000 0.000
Rb 0.000 2.549 3.082
Co 2.549 0.000 3.082
Co 0.000 0.000 6.163
F 1.274 -0.634 4.623
F 1.914 1.274 1.541
F 1.274 3.183 -1.541
F 0.634 1.274 7.704
```

Properties
For the total magnetization, the calculation gives 2.08 μB per formula unit. The symmetry is No. 122. The volume comes out at 20.0 A^3/atom. Its energy above the most stable polymorph in this dataset is 0.160 eV/atom.